The following is a PBE calculation of an optimized crystal structure of La2Co2I, from Alexandria via LeMat-Bulk.

Cell: 4.299 7.772 9.348 Å, 65.46 89.84 89.94°
Fractional positions:
1 La 0.249 0.154 0.190
2 La 0.249 0.657 0.190
3 La 0.751 0.343 0.810
4 La 0.751 0.846 0.810
5 Co 0.250 0.016 0.967
6 Co 0.250 0.518 0.965
7 Co 0.750 0.482 0.035
8 Co 0.750 0.984 0.033
9 I 0.252 0.228 0.543
10 I 0.748 0.772 0.457

Properties
E_form (uncorrected), meV per atom: -465
Theoretical density, kg/m3: 6109